Below is a geometry-optimized Rb2NdTlF6 structure, with properties calculated at the PBE level.

abc: 6.746 6.994 9.615
angles: 90.00 89.05 90.00
Fractional positions:
Rb1 0.983 0.049 0.745
Rb2 0.483 0.451 0.245
F1 0.115 0.439 0.778
F2 0.225 0.179 0.452
F3 0.385 0.939 0.722
F4 0.672 0.264 0.574
Rb3 0.017 0.951 0.255
F5 0.775 0.821 0.548
Tl1 0.500 0.000 0.000
Nd1 0.000 0.500 0.000
F6 0.615 0.061 0.278
Tl2 0.000 0.500 0.500
F7 0.725 0.321 0.952
Nd2 0.500 0.000 0.500
Rb4 0.517 0.549 0.755
F8 0.328 0.736 0.426
F9 0.172 0.236 0.074
F10 0.828 0.764 0.926
F11 0.275 0.679 0.048
F12 0.885 0.561 0.222

Properties
- N(E_F) (states/eV/f.u.) = 0.00
- calculated total energy (Ha/atom) = -0.18766
- formation energy from raw total energies (kcal/mol of atoms) = -70.95

=====

Below is a geometry-optimized Rb2NdZn3F12 structure, with properties calculated at the PBE level.

abc: 7.388 7.388 7.388
angles: 61.83 61.83 61.83
Fractional positions:
F1 0.889 0.379 0.889
F2 0.621 0.111 0.111
F3 0.111 0.111 0.621
F4 0.379 0.889 0.889
Rb1 0.384 0.384 0.384
Zn1 0.000 0.000 0.500
F5 0.111 0.621 0.111
F6 0.713 0.713 0.095
F7 0.287 0.905 0.287
F8 0.713 0.095 0.713
F9 0.889 0.889 0.379
Nd1 0.000 0.000 0.000
F10 0.905 0.287 0.287
Rb2 0.616 0.616 0.616
Zn2 0.000 0.500 0.000
F11 0.287 0.287 0.905
Zn3 0.500 0.000 0.000
F12 0.095 0.713 0.713

Properties
- N(E_F) (states/eV/f.u.) = 10.92
- calculated total energy (Ha/atom) = -0.16629
- formation energy from raw total energies (kcal/mol of atoms) = -62.09